Record 1
{"formula": "ScGePd2S", "functional": "GGA-PBEsol", "state": "relaxed", "cell": [[4.512, 0.000, 0.000], [0.000, 4.512, 0.000], [0.000, 0.000, 4.933]], "species": ["Pd", "Pd", "Sc", "Ge", "S"], "fractional_positions": [[0.000, 0.500, 0.000], [0.500, 0.000, 0.000], [0.500, 0.500, 0.500], [0.000, 0.000, 0.000], [0.000, 0.000, 0.500]], "dos_at_fermi_per_ev_atom": 0.548, "final_energy_ev_per_atom": -5.625, "space_group": "P4/mmm, No. 123"}

***

Record 2
{"formula": "ScGePd3", "functional": "GGA-PBEsol", "state": "relaxed", "cell": [[-1.870, 0.517, -4.127], [3.371, -2.462, -1.836], [-2.436, -3.803, 0.627]], "species": ["Pd", "Pd", "Pd", "Ge", "Sc"], "fractional_positions": [[0.000, 0.000, 0.500], [0.500, 0.000, 0.000], [0.000, 0.500, 0.000], [0.000, 0.000, 0.000], [0.500, 0.500, 0.500]], "dos_at_fermi_per_ev_atom": 0.755, "final_energy_ev_per_atom": -6.064, "space_group": "Pm-3m, No. 221", "de_polymorph_mev_per_atom": 0, "delta_e_f_ev_per_atom": -0.180}

***

Record 3
{"formula": "ScGePd3", "functional": "GGA-PBEsol", "state": "relaxed", "cell": [[4.689, 0.000, 0.000], [0.000, 4.689, 0.000], [0.000, 0.000, 4.689]], "species": ["Pd", "Pd", "Pd", "Sc", "Ge"], "fractional_positions": [[0.000, 0.500, 0.000], [0.500, 0.000, 0.000], [0.000, 0.000, 0.500], [0.000, 0.000, 0.000], [0.500, 0.500, 0.500]], "dos_at_fermi_per_ev_atom": 0.467, "final_energy_ev_per_atom": -5.364, "space_group": "Pm-3m, No. 221", "de_polymorph_mev_per_atom": 700, "delta_e_f_ev_per_atom": 0.520}

***

Record 4
{"formula": "Sc2Ge2Pd", "functional": "GGA-PBEsol", "state": "relaxed", "cell": [[4.106, 0.000, 0.000], [0.000, 6.509, 0.000], [0.000, 0.000, 6.509]], "species": ["Sc", "Sc", "Sc", "Sc", "Pd", "Pd", "Ge", "Ge", "Ge", "Ge"], "fractional_positions": [[0.500, 0.331, 0.169], [0.500, 0.669, 0.831], [0.500, 0.831, 0.331], [0.500, 0.169, 0.669], [0.000, 0.000, 0.000], [0.000, 0.500, 0.500], [0.000, 0.638, 0.138], [0.000, 0.862, 0.638], [0.000, 0.362, 0.862], [0.000, 0.138, 0.362]], "dos_at_fermi_per_ev_atom": 0.583, "final_energy_ev_per_atom": -6.744, "space_group": "P4/mbm, No. 127", "delta_e_f_ev_per_atom": -0.935}

***

Record 5
{"formula": "ScGePd", "functional": "GGA-PBEsol", "state": "relaxed", "cell": [[-2.473, 1.001, 2.864], [-2.615, -6.118, -0.121], [5.157, 1.336, 3.987]], "species": ["Sc", "Sc", "Sc", "Pd", "Pd", "Pd", "Ge", "Ge", "Ge"], "fractional_positions": [[0.000, 0.000, 0.576], [0.000, 0.576, 0.000], [0.000, 0.424, 0.424], [0.500, 0.752, 0.752], [0.500, 0.000, 0.248], [0.500, 0.248, 0.000], [0.000, 0.000, 0.000], [0.500, 0.333, 0.667], [0.500, 0.667, 0.333]], "dos_at_fermi_per_ev_atom": 0.528, "final_energy_ev_per_atom": -6.824, "space_group": "P-62m, No. 189", "delta_e_f_ev_per_atom": -0.990}

***

Record 6
{"formula": "YGePd2Se", "functional": "GGA-PBEsol", "state": "relaxed", "cell": [[4.871, 0.000, 0.000], [0.000, 4.871, 0.000], [0.000, 0.000, 5.446]], "species": ["Pd", "Pd", "Ge", "Y", "Se"], "fractional_positions": [[0.500, 0.000, 0.000], [0.000, 0.500, 0.000], [0.000, 0.000, 0.500], [0.000, 0.000, 0.000], [0.500, 0.500, 0.500]], "dos_at_fermi_per_ev_atom": 0.576, "final_energy_ev_per_atom": -4.692, "space_group": "P4/mmm, No. 123"}

***

Record 7
{"formula": "SmGePd2", "functional": "GGA-PBEsol", "state": "relaxed", "cell": [[5.596, 0.000, 0.000], [0.000, 7.000, 0.000], [0.000, 0.000, 7.445]], "species": ["Ge", "Ge", "Ge", "Ge", "Pd", "Pd", "Pd", "Pd", "Pd", "Pd", "Pd", "Pd", "Sm", "Sm", "Sm", "Sm"], "fractional_positions": [[0.147, 0.250, 0.880], [0.353, 0.250, 0.380], [0.647, 0.750, 0.620], [0.853, 0.750, 0.120], [0.911, 0.552, 0.821], [0.411, 0.052, 0.679], [0.089, 0.448, 0.179], [0.911, 0.948, 0.821], [0.589, 0.948, 0.321], [0.089, 0.052, 0.179], [0.411, 0.448, 0.679], [0.589, 0.552, 0.321], [0.855, 0.250, 0.531], [0.645, 0.250, 0.031], [0.355, 0.750, 0.969], [0.145, 0.750, 0.469]], "dos_at_fermi_per_ev_atom": 0.387, "final_energy_ev_per_atom": -6.403, "space_group": "Pnma, No. 62", "delta_e_f_ev_per_atom": -0.916}

***

Record 8
{"formula": "Sm3Ge6Pd20", "functional": "GGA-PBEsol", "state": "relaxed", "cell": [[8.733, 0.000, 0.000], [4.367, 7.563, 0.000], [4.367, 2.521, 7.131]], "species": ["Pd", "Pd", "Pd", "Pd", "Pd", "Pd", "Pd", "Pd", "Pd", "Pd", "Pd", "Pd", "Pd", "Pd", "Pd", "Pd", "Pd", "Pd", "Pd", "Pd", "Sm", "Sm", "Sm", "Ge", "Ge", "Ge", "Ge", "Ge", "Ge"], "fractional_positions": [[0.348, 0.652, 0.000], [0.853, 0.382, 0.382], [0.382, 0.382, 0.382], [0.618, 0.618, 0.147], [0.348, 0.000, 0.000], [0.000, 0.000, 0.348], [0.652, 0.348, 0.000], [0.382, 0.853, 0.382], [0.000, 0.652, 0.348], [0.348, 0.000, 0.652], [0.000, 0.348, 0.652], [0.382, 0.382, 0.853], [0.618, 0.147, 0.618], [0.000, 0.652, 0.000], [0.000, 0.000, 0.652], [0.652, 0.000, 0.348], [0.652, 0.000, 0.000], [0.000, 0.348, 0.000], [0.147, 0.618, 0.618], [0.618, 0.618, 0.618], [0.750, 0.750, 0.750], [0.000, 0.000, 0.000], [0.250, 0.250, 0.250], [0.268, 0.732, 0.732], [0.732, 0.268, 0.732], [0.732, 0.732, 0.268], [0.268, 0.732, 0.268], [0.732, 0.268, 0.268], [0.268, 0.268, 0.732]], "dos_at_fermi_per_ev_atom": 0.410, "final_energy_ev_per_atom": -6.335, "space_group": "Fm-3m, No. 225", "delta_e_f_ev_per_atom": -0.677}

***

Record 9
{"formula": "SnGe3Pd", "functional": "GGA-PBEsol", "state": "relaxed", "cell": [[4.824, 0.000, 0.000], [0.000, 4.824, 0.000], [0.000, 0.000, 4.824]], "species": ["Ge", "Ge", "Ge", "Sn", "Pd"], "fractional_positions": [[0.000, 0.000, 0.500], [0.000, 0.500, 0.000], [0.500, 0.000, 0.000], [0.500, 0.500, 0.500], [0.000, 0.000, 0.000]], "dos_at_fermi_per_ev_atom": 0.568, "final_energy_ev_per_atom": -4.748, "space_group": "Pm-3m, No. 221", "delta_e_f_ev_per_atom": 0.259}

***

Record 10
{"formula": "SrGe3Pd", "functional": "GGA-PBEsol", "state": "relaxed", "cell": [[4.457, 0.000, 0.000], [0.000, 4.457, 0.000], [-2.228, -2.228, 5.077]], "species": ["Ge", "Ge", "Ge", "Sr", "Pd"], "fractional_positions": [[0.246, 0.746, 0.493], [0.600, 0.600, 0.201], [0.746, 0.246, 0.493], [0.001, 0.001, 0.002], [0.357, 0.357, 0.715]], "dos_at_fermi_per_ev_atom": 0.335, "final_energy_ev_per_atom": -5.131, "space_group": "I4mm, No. 107", "delta_e_f_ev_per_atom": -0.608}

***

Record 11
{"formula": "SrGe3Pd", "functional": "GGA-PBEsol", "state": "relaxed", "cell": [[5.322, 0.000, 0.000], [0.000, 5.322, 0.000], [0.000, 0.000, 5.322]], "species": ["Pd", "Ge", "Ge", "Ge", "Sr"], "fractional_positions": [[0.500, 0.500, 0.500], [0.500, 0.000, 0.000], [0.000, 0.500, 0.000], [0.000, 0.000, 0.500], [0.000, 0.000, 0.000]], "dos_at_fermi_per_ev_atom": 0.662, "final_energy_ev_per_atom": -2.950, "space_group": "Pm-3m, No. 221", "delta_e_f_ev_per_atom": 1.573}

***

Record 12
{"formula": "TbGe2Pd", "functional": "GGA-PBEsol", "state": "relaxed", "cell": [[4.277, 0.000, 0.000], [0.000, 8.680, 0.000], [-2.139, -4.340, 8.108]], "species": ["Pd", "Pd", "Pd", "Pd", "Ge", "Ge", "Ge", "Ge", "Ge", "Ge", "Ge", "Ge", "Tb", "Tb", "Tb", "Tb"], "fractional_positions": [[0.852, 0.602, 0.704], [0.852, 0.102, 0.704], [0.148, 0.398, 0.296], [0.148, 0.898, 0.296], [0.926, 0.426, 0.851], [0.302, 0.652, 0.604], [0.698, 0.348, 0.396], [0.698, 0.048, 0.396], [0.925, 0.925, 0.849], [0.302, 0.952, 0.604], [0.075, 0.075, 0.151], [0.074, 0.574, 0.149], [0.500, 0.261, 0.000], [0.702, 0.702, 0.404], [0.500, 0.739, 0.000], [0.298, 0.298, 0.596]], "dos_at_fermi_per_ev_atom": 0.323, "final_energy_ev_per_atom": -6.047, "space_group": "Immm, No. 71", "delta_e_f_ev_per_atom": -0.835}

***

Record 13
{"formula": "GeTe2Pd8", "functional": "GGA-PBEsol", "state": "relaxed", "cell": [[-5.142, 4.007, 3.774], [-3.293, -2.908, 6.119], [7.484, 5.889, 11.463]], "species": ["Pd", "Pd", "Pd", "Pd", "Pd", "Pd", "Pd", "Pd", "Pd", "Pd", "Pd", "Pd", "Pd", "Pd", "Pd", "Pd", "Pd", "Pd", "Pd", "Pd", "Pd", "Pd", "Pd", "Pd", "Pd", "Pd", "Pd", "Pd", "Pd", "Pd", "Pd", "Pd", "Te", "Te", "Te", "Te", "Te", "Te", "Te", "Te", "Ge", "Ge", "Ge", "Ge"], "fractional_positions": [[0.992, 0.992, 0.024], [0.337, 0.703, 0.895], [0.180, 0.432, 0.688], [0.565, 0.203, 0.395], [0.065, 0.337, 0.895], [0.532, 0.905, 0.297], [0.923, 0.172, 0.497], [0.672, 0.423, 0.997], [0.408, 0.923, 0.497], [0.333, 0.333, 0.001], [0.768, 0.768, 0.697], [0.680, 0.199, 0.188], [0.837, 0.565, 0.395], [0.199, 0.932, 0.188], [0.699, 0.180, 0.688], [0.766, 0.405, 0.797], [0.432, 0.699, 0.688], [0.423, 0.908, 0.997], [0.268, 0.268, 0.197], [0.110, 0.110, 0.670], [0.172, 0.408, 0.497], [0.492, 0.492, 0.524], [0.203, 0.837, 0.395], [0.833, 0.833, 0.501], [0.908, 0.672, 0.997], [0.932, 0.680, 0.188], [0.266, 0.532, 0.297], [0.703, 0.065, 0.895], [0.610, 0.610, 0.170], [0.032, 0.766, 0.797], [0.905, 0.266, 0.297], [0.405, 0.032, 0.797], [0.117, 0.803, 0.596], [0.394, 0.394, 0.819], [0.894, 0.894, 0.319], [0.617, 0.984, 0.096], [0.803, 0.484, 0.596], [0.984, 0.303, 0.096], [0.484, 0.117, 0.596], [0.303, 0.617, 0.096], [0.210, 0.210, 0.371], [0.710, 0.710, 0.871], [0.551, 0.551, 0.346], [0.051, 0.051, 0.846]], "dos_at_fermi_per_ev_atom": 0.393, "final_energy_ev_per_atom": -5.802, "space_group": "R3c, No. 161"}

***

Record 14
{"formula": "Ti2GePd2", "functional": "GGA-PBEsol", "state": "relaxed", "cell": [[-1.336, -2.244, 2.542], [3.385, -0.730, 1.135], [-1.351, 6.286, 2.226]], "species": ["Ti", "Ti", "Ge", "Pd", "Pd"], "fractional_positions": [[0.400, 0.400, 0.800], [0.600, 0.600, 0.200], [0.000, 0.000, 0.000], [0.750, 0.250, 0.500], [0.250, 0.750, 0.500]], "dos_at_fermi_per_ev_atom": 0.831, "final_energy_ev_per_atom": -6.859, "space_group": "I4/mmm, No. 139", "delta_e_f_ev_per_atom": -0.159}

***

Record 15
{"formula": "TmGePd", "functional": "GGA-PBEsol", "state": "relaxed", "cell": [[-2.166, 3.705, 0.381], [-1.122, 0.105, -7.405], [-7.032, -7.104, 4.752]], "species": ["Pd", "Pd", "Pd", "Pd", "Pd", "Pd", "Tm", "Tm", "Tm", "Tm", "Tm", "Tm", "Ge", "Ge", "Ge", "Ge", "Ge", "Ge"], "fractional_positions": [[0.572, 0.749, 0.144], [0.895, 0.068, 0.790], [0.269, 0.101, 0.537], [0.731, 0.564, 0.463], [0.105, 0.278, 0.210], [0.428, 0.606, 0.856], [0.667, 0.130, 0.334], [0.333, 0.796, 0.666], [0.000, 0.466, 0.000], [0.833, 0.377, 0.666], [0.167, 0.711, 0.334], [0.500, 0.050, 0.000], [0.935, 0.782, 0.869], [0.236, 0.397, 0.473], [0.764, 0.924, 0.527], [0.065, 0.913, 0.131], [0.406, 0.252, 0.812], [0.594, 0.439, 0.188]], "dos_at_fermi_per_ev_atom": 0.323, "final_energy_ev_per_atom": -6.301, "space_group": "Imm2, No. 44", "delta_e_f_ev_per_atom": -1.035}

***

Record 16
{"formula": "TmGePd", "functional": "GGA-PBEsol", "state": "relaxed", "cell": [[4.267, 0.000, 0.000], [2.134, 5.116, -0.010], [2.134, 0.557, 5.071]], "species": ["Ge", "Ge", "Pd", "Pd", "Tm", "Tm"], "fractional_positions": [[0.159, 0.899, 0.783], [0.841, 0.101, 0.217], [0.824, 0.726, 0.626], [0.176, 0.274, 0.374], [0.451, 0.309, 0.788], [0.549, 0.691, 0.212]], "dos_at_fermi_per_ev_atom": 0.391, "final_energy_ev_per_atom": -6.224, "space_group": "C2/m, No. 12", "delta_e_f_ev_per_atom": -0.958}

***

Record 17
{"formula": "GePdW3", "functional": "GGA-PBEsol", "state": "relaxed", "cell": [[-0.663, 4.285, 1.251], [-4.218, -1.015, 1.242], [1.461, -0.987, 4.154]], "species": ["Ge", "Pd", "W", "W", "W"], "fractional_positions": [[0.000, 0.000, 0.000], [0.500, 0.500, 0.500], [0.000, 0.000, 0.500], [0.000, 0.500, 0.000], [0.500, 0.000, 0.000]], "dos_at_fermi_per_ev_atom": 0.864, "final_energy_ev_per_atom": -8.664, "space_group": "Pm-3m, No. 221", "delta_e_f_ev_per_atom": 1.800}

***

Record 18
{"formula": "YGe3Pd", "functional": "GGA-PBEsol", "state": "relaxed", "cell": [[4.804, 0.000, 0.000], [0.000, 4.804, 0.000], [0.000, 0.000, 4.804]], "species": ["Ge", "Ge", "Ge", "Y", "Pd"], "fractional_positions": [[0.500, 0.000, 0.000], [0.000, 0.000, 0.500], [0.000, 0.500, 0.000], [0.500, 0.500, 0.500], [0.000, 0.000, 0.000]], "dos_at_fermi_per_ev_atom": 0.682, "final_energy_ev_per_atom": -5.523, "space_group": "Pm-3m, No. 221", "delta_e_f_ev_per_atom": -0.003}

***

Record 19
{"formula": "Y2Ge2Pd", "functional": "GGA-PBEsol", "state": "relaxed", "cell": [[4.365, 0.000, 0.000], [0.000, 6.752, 0.000], [0.000, 0.000, 6.752]], "species": ["Y", "Y", "Y", "Y", "Pd", "Pd", "Ge", "Ge", "Ge", "Ge"], "fractional_positions": [[0.500, 0.828, 0.328], [0.500, 0.172, 0.672], [0.500, 0.672, 0.828], [0.500, 0.328, 0.172], [0.000, 0.500, 0.500], [0.000, 0.000, 0.000], [0.000, 0.137, 0.363], [0.000, 0.863, 0.637], [0.000, 0.363, 0.863], [0.000, 0.637, 0.137]], "dos_at_fermi_per_ev_atom": 0.596, "final_energy_ev_per_atom": -6.855, "space_group": "P4/mbm, No. 127", "delta_e_f_ev_per_atom": -0.959}

***

Record 20
{"formula": "YGe2Pd", "functional": "GGA-PBEsol", "state": "relaxed", "cell": [[-3.381, -2.060, -1.603], [2.650, -7.327, 3.829], [-3.929, 6.597, 5.500]], "species": ["Y", "Y", "Y", "Y", "Ge", "Ge", "Ge", "Ge", "Ge", "Ge", "Ge", "Ge", "Pd", "Pd", "Pd", "Pd"], "fractional_positions": [[0.202, 0.702, 0.403], [0.798, 0.298, 0.597], [0.000, 0.739, 0.000], [0.000, 0.261, 0.000], [0.802, 0.652, 0.604], [0.802, 0.952, 0.604], [0.425, 0.925, 0.850], [0.575, 0.075, 0.150], [0.198, 0.048, 0.396], [0.426, 0.426, 0.851], [0.198, 0.348, 0.396], [0.574, 0.574, 0.149], [0.648, 0.398, 0.296], [0.352, 0.602, 0.704], [0.352, 0.102, 0.704], [0.648, 0.898, 0.296]], "dos_at_fermi_per_ev_atom": 0.328, "final_energy_ev_per_atom": -6.503, "space_group": "Immm, No. 71", "delta_e_f_ev_per_atom": -0.838}